*1*
The following is a DFT calculation (GGA-PBE) of an optimized crystal structure of Pu3Ta.

Output
Mass density ... 17.3 g cm⁻³
Crystal system ... orthorhombic
Symmetry ... Pmm2 (25)

a = 2.9124 Å, b = 5.1056 Å, c = 5.9018 Å
α = 90.00°, β = 90.00°, γ = 90.00°
Element x y z (fractional)
Pu1 0.0000 0.0000 0.0000
Pu2 0.0000 0.5000 0.2619
Pu3 0.5000 0.5000 0.7541
Ta1 0.5000 0.0000 0.4985



*2*
The following is a DFT calculation (GGA-PBE) of an optimized crystal structure of Pu3Ta.

Output
Mass density ... 20.8 g cm⁻³
Crystal system ... orthorhombic
Symmetry ... Imm2 (44)

a = 6.2293 Å, b = 6.2293 Å, c = 6.2293 Å
α = 157.83°, β = 58.56°, γ = 126.55°
Element x y z (fractional)
Pu1 0.0000 0.0000 0.0000
Pu2 0.3425 0.6018 0.7408
Pu3 0.8610 0.6018 0.2592
Ta1 0.5052 0.0052 0.5000



Order from most stable to least stable according to the calculation: *1*, *2*



*1*
The following is a DFT calculation (GGA-PBE) of an optimized crystal structure of PuTaTi.

Output
Mass density ... 13.6 g cm⁻³
Crystal system ... trigonal
Symmetry ... R3m (160)

a = 7.7939 Å, b = 7.7939 Å, c = 7.7939 Å
α = 21.94°, β = 21.94°, γ = 21.94°
Element x y z (fractional)
Pu1 0.0000 0.0000 0.0000
Ta1 0.4506 0.4506 0.4506
Ti1 0.2209 0.2209 0.2209



*2*
The following is a DFT calculation (GGA-PBE) of an optimized crystal structure of PuTaTi.

Output
Mass density ... 13.7 g cm⁻³
Crystal system ... hexagonal
Symmetry ... P-6m2 (187)

a = 4.7665 Å, b = 4.7665 Å, c = 2.9182 Å
α = 90.00°, β = 90.00°, γ = 120.00°
Element x y z (fractional)
Pu1 0.0000 0.0000 0.0000
Ta1 0.3333 0.6667 0.5000
Ti1 0.6667 0.3333 0.0000



Order from most stable to least stable according to the calculation: *2*, *1*



*1*
The following is a DFT calculation (GGA-PBE) of an optimized crystal structure of PuTa2V.

Output
Mass density ... 14.7 g cm⁻³
Crystal system ... tetragonal
Symmetry ... P4/mmm (123)

a = 3.1570 Å, b = 3.1570 Å, c = 7.4539 Å
α = 90.00°, β = 90.00°, γ = 90.00°
Element x y z (fractional)
Pu1 0.0000 0.0000 0.0000
Ta1 0.5000 0.5000 0.2928
Ta2 0.5000 0.5000 0.7072
V1 0.0000 0.0000 0.5000



*2*
The following is a DFT calculation (GGA-PBE) of an optimized crystal structure of PuTa2V.

Output
Mass density ... 14.4 g cm⁻³
Crystal system ... trigonal
Symmetry ... R-3m (166)

a = 10.6028 Å, b = 10.6028 Å, c = 10.6028 Å
α = 15.68°, β = 15.68°, γ = 15.68°
Element x y z (fractional)
Pu1 0.0000 0.0000 0.0000
Ta1 0.0932 0.0932 0.0932
Ta2 0.9068 0.9068 0.9068
V1 0.5000 0.5000 0.5000



Order from most stable to least stable according to the calculation: *1*, *2*



*1*
The following is a DFT calculation (GGA-PBE) of an optimized crystal structure of TbPu3.

Output
Mass density ... 13.2 g cm⁻³
Crystal system ... cubic
Symmetry ... Pm-3m (221)

a = 4.8201 Å, b = 4.8201 Å, c = 4.8201 Å
α = 90.00°, β = 90.00°, γ = 90.00°
Element x y z (fractional)
Tb1 0.0000 0.0000 0.0000
Pu1 0.0000 0.5000 0.5000
Pu2 0.5000 0.0000 0.5000
Pu3 0.5000 0.5000 0.0000



*2*
The following is a DFT calculation (GGA-PBE) of an optimized crystal structure of TbPu3.

Output
Mass density ... 13.1 g cm⁻³
Crystal system ... orthorhombic
Symmetry ... Imm2 (44)

a = 6.5006 Å, b = 6.5006 Å, c = 6.5006 Å
α = 147.73°, β = 61.82°, γ = 128.81°
Element x y z (fractional)
Tb1 0.0000 0.0000 0.0000
Pu1 0.2642 0.4990 0.7652
Pu2 0.5001 0.0001 0.5000
Pu3 0.7338 0.4990 0.2348



*3*
The following is a DFT calculation (GGA-PBE) of an optimized crystal structure of TbPu3.

Output
Mass density ... 14.8 g cm⁻³
Crystal system ... orthorhombic
Symmetry ... Pmm2 (25)

a = 3.7940 Å, b = 4.9560 Å, c = 5.3298 Å
α = 90.00°, β = 90.00°, γ = 90.00°
Element x y z (fractional)
Tb1 0.0000 0.0000 0.0000
Pu1 0.0000 0.5000 0.4757
Pu2 0.5000 0.0000 0.4882
Pu3 0.5000 0.5000 0.7754



Order from most stable to least stable according to the calculation: *1*, *3*, *2*



*1*
The following is a DFT calculation (GGA-PBE) of an optimized crystal structure of TbPu2Tc.

Output
Mass density ... 12.8 g cm⁻³
Crystal system ... tetragonal
Symmetry ... P4/mmm (123)

a = 3.2997 Å, b = 3.2997 Å, c = 8.8417 Å
α = 90.00°, β = 90.00°, γ = 90.00°
Element x y z (fractional)
Tb1 0.0000 0.0000 0.0000
Pu1 0.5000 0.5000 0.3011
Pu2 0.5000 0.5000 0.6989
Tc1 0.0000 0.0000 0.5000



*2*
The following is a DFT calculation (GGA-PBE) of an optimized crystal structure of TbPu2Tc.

Output
Mass density ... 12.5 g cm⁻³
Crystal system ... trigonal
Symmetry ... R-3m (166)

a = 10.8496 Å, b = 10.8496 Å, c = 10.8496 Å
α = 17.37°, β = 17.37°, γ = 17.37°
Element x y z (fractional)
Tb1 0.0000 0.0000 0.0000
Pu1 0.1004 0.1004 0.1004
Pu2 0.8996 0.8996 0.8996
Tc1 0.5000 0.5000 0.5000



Order from most stable to least stable according to the calculation: *1*, *2*



*1*
The following is a DFT calculation (GGA-PBE) of an optimized crystal structure of Tb4PuTe5.

Output
Mass density ... 8.5 g cm⁻³
Crystal system ... tetragonal
Symmetry ... I4/mmm (139)

a = 15.7846 Å, b = 15.7846 Å, c = 15.7846 Å
α = 164.03°, β = 164.03°, γ = 22.67°
Element x y z (fractional)
Tb1 0.0994 0.0994 0.0000
Tb2 0.2990 0.2990 0.0000
Tb3 0.7010 0.7010 0.0000
Tb4 0.9006 0.9006 0.0000
Pu1 0.5000 0.5000 0.0000
Te1 0.0000 0.0000 0.0000
Te2 0.1993 0.1993 0.0000
Te3 0.3989 0.3989 0.0000
Te4 0.6011 0.6011 0.0000
Te5 0.8007 0.8007 0.0000



*2*
The following is a DFT calculation (GGA-PBE) of an optimized crystal structure of Tb4PuTe5.

Output
Mass density ... 8.5 g cm⁻³
Crystal system ... monoclinic
Symmetry ... C2/m (12)

a = 7.6233 Å, b = 7.6233 Å, c = 10.7300 Å
α = 118.25°, β = 118.25°, γ = 33.27°
Element x y z (fractional)
Tb1 0.0993 0.0993 0.3983
Tb2 0.2993 0.2993 0.1982
Tb3 0.7007 0.7007 0.8018
Tb4 0.9007 0.9007 0.6017
Pu1 0.5000 0.5000 0.0000
Te1 0.1008 0.1008 0.8991
Te2 0.2981 0.2981 0.6975
Te3 0.5000 0.5000 0.5000
Te4 0.7019 0.7019 0.3025
Te5 0.8992 0.8992 0.1009



Order from most stable to least stable according to the calculation: *2*, *1*